(1)
The following is a DFT calculation (PBE-GGA) of a geometry-optimized Ho12CdAu6 structure.

Values from the calculation:
Energy relative to the elements, meV per atom: -373
Spin magnetization, μB per cell: 0.0
Total energy, eV per atom: -4.347

```
Ho12CdAu6
1.0
6.593 3.806 3.824
-6.593 3.806 3.824
0.000 -7.613 3.824
Ho Cd Au
12 1 6
direct
0.064 0.329 0.923 Ho
0.077 0.936 0.671 Ho
0.177 0.571 0.426 Ho
0.329 0.923 0.064 Ho
0.426 0.177 0.571 Ho
0.429 0.574 0.823 Ho
0.571 0.426 0.177 Ho
0.574 0.823 0.429 Ho
0.671 0.077 0.936 Ho
0.823 0.429 0.574 Ho
0.923 0.064 0.329 Ho
0.936 0.671 0.077 Ho
0.000 0.000 0.000 Cd
0.139 0.306 0.610 Au
0.306 0.610 0.139 Au
0.390 0.861 0.694 Au
0.610 0.139 0.306 Au
0.694 0.390 0.861 Au
0.861 0.694 0.390 Au
```

(2)
The following is a DFT calculation (PBE-GGA) of a geometry-optimized HoCdAu2 structure.

Values from the calculation:
Energy relative to the elements, meV per atom: -608
Spin magnetization, μB per cell: 0.0
Total energy, eV per atom: -3.620

```
HoCdAu2
1.0
3.576 0.000 0.000
0.000 3.576 0.000
0.000 0.000 6.704
Ho Cd Au
1 1 2
direct
0.000 0.000 0.000 Ho
0.000 0.000 0.500 Cd
0.500 0.500 0.248 Au
0.500 0.500 0.752 Au
```